{"formula": "LiTlIn2H", "functional": "PBE", "state": "relaxed", "lattice_angstrom": [[5.0758, 0.0000, 0.0000], [0.0000, 5.0758, 0.0000], [0.0000, 0.0000, 4.0676]], "species": ["Li", "Tl", "In", "In", "H"], "frac_coords": [[0.0000, 0.0000, 0.0000], [0.5000, 0.5000, 0.0000], [0.0000, 0.5000, 0.5000], [0.5000, 0.0000, 0.5000], [0.0000, 0.0000, 0.5000]], "m_tot_mub_per_fu": 0.00, "final_energy_ev_per_atom": -2.59, "space_group": "P4/mmm"}